Y3GeB2Pt9 | PBE-GGA | optimized geometry

Cell lengths 5.748, 5.748, 9.185 Å; angles 90.00, 90.00, 120.00 degrees
Positions (direct):
1 Pt 0.331 0.165 0.710
2 Pt 0.500 0.000 0.000
3 Pt 0.835 0.669 0.710
4 Pt 0.000 0.500 0.000
5 Pt 0.165 0.835 0.290
6 Pt 0.835 0.165 0.710
7 Pt 0.669 0.835 0.290
8 Pt 0.165 0.331 0.290
9 Pt 0.500 0.500 0.000
10 B 0.667 0.333 0.851
11 B 0.333 0.667 0.149
12 Y 0.667 0.333 0.396
13 Y 0.333 0.667 0.604
14 Y 0.000 0.000 0.000
15 Ge 0.000 0.000 0.500

Values from the calculation:
DFT formation energy in kJ per mole of atoms: -80.7
Magnetic moment in μB/cell: 0.0
DOS(E_F) in states/eV/f.u.: 5.4
Raw total energy in eV per cell: -104.27